TmFeSi2Os: optimized geometry, PBE-GGA.

Summary:
- E_form (uncorrected) (eV/atom) = -0.69
- M_tot (μB/cell) = 0.93
- DOS at the Fermi energy (states/eV per atom) = 0.869

extended XYZ file:
```
5
Lattice="-1.272 3.630 1.145 -1.085 -1.503 3.559 5.618 -0.068 -0.578" Properties=species:S:1:pos:R:3 pbc="T T T"
Tm 0.000 0.000 0.000
Fe 1.584 2.313 1.459
Si -0.067 1.313 2.796
Si 3.328 0.747 1.330
Os 1.677 -0.253 2.666
```